[1]
# PBE TiPdAu2, relaxed
data_TiPdAu2
_symmetry_space_group_name_H-M 'P m m m'
_symmetry_Int_Tables_number 47
_cell_length_a 2.7515
_cell_length_b 4.6895
_cell_length_c 5.3825
_cell_angle_alpha 90.00
_cell_angle_beta 90.00
_cell_angle_gamma 90.00
loop_
_symmetry_equiv_pos_as_xyz
'x,y,z'
'-x,-y,-z'
'-x,-y,z'
'x,y,-z'
'x,-y,-z'
'-x,y,z'
'-x,y,-z'
'x,-y,z'
loop_
_atom_site_label
_atom_site_type_symbol
_atom_site_fract_x
_atom_site_fract_y
_atom_site_fract_z
_atom_site_occupancy
Ti1 Ti 0.0000 0.0000 0.0000 1
Pd1 Pd 0.5000 0.0000 0.5000 1
Au1 Au 0.0000 0.5000 0.2532 1
# * total moment: 0.36 Bohr magnetons per cell

[2]
# PBE Ti2Pd4Au, relaxed
data_Ti2Pd4Au
_symmetry_space_group_name_H-M 'R -3 m'
_symmetry_Int_Tables_number 166
_symmetry_space_group_name_Hall '-R 3 2"'
_cell_length_a 4.4230
_cell_length_b 4.4230
_cell_length_c 19.7155
_cell_angle_alpha 90.00
_cell_angle_beta 90.00
_cell_angle_gamma 120.00
loop_
_atom_site_label
_atom_site_type_symbol
_atom_site_fract_x
_atom_site_fract_y
_atom_site_fract_z
_atom_site_occupancy
Ti1 Ti 0.0000 0.0000 0.0762 1
Pd1 Pd 0.0000 0.0000 0.2213 1
Pd2 Pd 0.0000 0.0000 0.3621 1
Au1 Au 0.0000 0.0000 0.5000 1
# * relative energy among the computed polymorphs: 0.041 eV/atom
# * total moment: 0.00 Bohr magnetons per cell

[3]
# PBE TiPdAu2, relaxed
data_TiPdAu2
_symmetry_space_group_name_H-M 'I -4 2 d'
_symmetry_Int_Tables_number 122
_symmetry_space_group_name_Hall 'I -4 2bw'
_cell_length_a 7.3782
_cell_length_b 7.3782
_cell_length_c 5.4085
_cell_angle_alpha 90.00
_cell_angle_beta 90.00
_cell_angle_gamma 90.00
loop_
_atom_site_label
_atom_site_type_symbol
_atom_site_fract_x
_atom_site_fract_y
_atom_site_fract_z
_atom_site_occupancy
Ti1 Ti 0.0000 0.0000 0.0000 1
Pd1 Pd 0.0000 0.0000 0.5000 1
Au1 Au 0.2395 0.2500 0.1250 1
# * total moment: 2.43 Bohr magnetons per cell

[4]
# PBE TiPd4Au, relaxed
data_TiPd4Au
_symmetry_space_group_name_H-M 'C m m e'
_symmetry_Int_Tables_number 67
_symmetry_space_group_name_Hall '-C 2a 2'
_cell_length_a 5.6693
_cell_length_b 7.8898
_cell_length_c 8.4259
_cell_angle_alpha 90.00
_cell_angle_beta 90.00
_cell_angle_gamma 90.00
loop_
_atom_site_label
_atom_site_type_symbol
_atom_site_fract_x
_atom_site_fract_y
_atom_site_fract_z
_atom_site_occupancy
Ti1 Ti 0.0000 0.2500 0.1771 1
Pd1 Pd 0.0000 0.2500 0.4929 1
Pd2 Pd 0.2500 0.0000 0.0000 1
Pd3 Pd 0.2500 0.0000 0.3317 1
Au1 Au 0.0000 0.2500 0.8347 1
# * relative energy among the computed polymorphs: 0.000 eV/atom
# * total moment: 0.00 Bohr magnetons per cell

| no. | formation enthalpy at 0 K (kcal/mol of atoms) | uncorrected energy (eV per atom) | N(E_F) (states/eV per cell) |
| --- | --- | --- | --- |
| 1 | -2.6 | -5.02 | 3.1 |
| 2 | -10.6 | -6.15 | 17.5 |
| 3 | 0.1 | -4.91 | 15.5 |
| 4 | -9.6 | -5.74 | 17.9 |